Record 1
# PBE ZnCrSnRu, relaxed
data_ZnCrSnRu
_cell_length_a 6.294
_cell_length_b 6.294
_cell_length_c 6.294
_cell_angle_alpha 90.00
_cell_angle_beta 90.00
_cell_angle_gamma 90.00
_space_group_name_H-M_alt 'F -4 3 m'
_space_group_IT_number 216
_space_group_name_Hall 'F -4 2 3'
loop_
_atom_site_label
_atom_site_type_symbol
_atom_site_fract_x
_atom_site_fract_y
_atom_site_fract_z
_atom_site_occupancy
Zn1 Zn 0.000 0.000 0.000 1
Cr1 Cr 0.250 0.250 0.750 1
Sn1 Sn 0.000 0.000 0.500 1
Ru1 Ru 0.250 0.250 0.250 1
# total DFT energy (no corrections)	-96.23	eV/cell
# DFT formation energy	30	meV per atom

=====

Record 2
# PBE SrAcEr2, relaxed
data_SrAcEr2
_cell_length_a 3.7080
_cell_length_b 3.7080
_cell_length_c 39.1068
_cell_angle_alpha 90.00
_cell_angle_beta 90.00
_cell_angle_gamma 120.00
_space_group_name_H-M_alt 'R -3 m'
_space_group_IT_number 166
_space_group_name_Hall '-R 3 2"'
loop_
_atom_site_label
_atom_site_type_symbol
_atom_site_fract_x
_atom_site_fract_y
_atom_site_fract_z
_atom_site_occupancy
Sr1 Sr 0.0000 0.0000 0.0000 1
Ac1 Ac 0.0000 0.0000 0.5000 1
Er1 Er 0.0000 0.0000 0.0909 1
# total DFT energy (no corrections)	-41.41	eV/cell
# ΔE to the lowest computed polymorph	109	meV per atom
# DFT formation energy	279	meV per atom

=====

Record 3
# PBE Hf2BeS, relaxed
data_Hf2BeS
_cell_length_a 5.456
_cell_length_b 5.456
_cell_length_c 11.857
_cell_angle_alpha 90.00
_cell_angle_beta 90.00
_cell_angle_gamma 90.00
_space_group_name_H-M_alt 'I -4 2 d'
_space_group_IT_number 122
_space_group_name_Hall 'I -4 2bw'
loop_
_atom_site_label
_atom_site_type_symbol
_atom_site_fract_x
_atom_site_fract_y
_atom_site_fract_z
_atom_site_occupancy
Hf1 Hf 0.228 0.250 0.125 1
Be1 Be 0.000 0.000 0.000 1
S1 S 0.000 0.000 0.500 1
# total DFT energy (no corrections)	-108.98	eV/cell
# ΔE to the lowest computed polymorph	798	meV per atom
# ΔE_f (raw)	0.13	eV/atom

=====

Record 4
# PBE RbScCdSe2, relaxed
data_RbScCdSe2
_cell_length_a 5.855
_cell_length_b 5.855
_cell_length_c 5.589
_cell_angle_alpha 90.00
_cell_angle_beta 90.00
_cell_angle_gamma 90.00
_space_group_name_H-M_alt 'P 4/m m m'
_space_group_IT_number 123
_space_group_name_Hall '-P 4 2'
loop_
_atom_site_label
_atom_site_type_symbol
_atom_site_fract_x
_atom_site_fract_y
_atom_site_fract_z
_atom_site_occupancy
Rb1 Rb 0.000 0.000 0.000 1
Sc1 Sc 0.500 0.500 0.500 1
Cd1 Cd 0.000 0.000 0.500 1
Se1 Se 0.000 0.500 0.000 1
# total DFT energy (no corrections)	-11.73	eV/cell
# ΔE_f (raw)	0.69	eV/atom

=====

Record 5
# PBE VCdP2Pd, relaxed
data_VCdP2Pd
_cell_length_a 4.630
_cell_length_b 4.630
_cell_length_c 5.000
_cell_angle_alpha 90.00
_cell_angle_beta 90.00
_cell_angle_gamma 90.00
_space_group_name_H-M_alt 'P 4/m m m'
_space_group_IT_number 123
_space_group_name_Hall '-P 4 2'
loop_
_atom_site_label
_atom_site_type_symbol
_atom_site_fract_x
_atom_site_fract_y
_atom_site_fract_z
_atom_site_occupancy
V1 V 0.000 0.000 0.000 1
Cd1 Cd 0.500 0.500 0.000 1
P1 P 0.000 0.500 0.500 1
Pd1 Pd 0.500 0.500 0.500 1
# total DFT energy (no corrections)	-21.04	eV/cell
# DFT formation energy	1001	meV per atom

=====

Record 6
# PBE MnAlTe2I, relaxed
data_MnAlTe2I
_cell_length_a 5.391
_cell_length_b 5.391
_cell_length_c 5.466
_cell_angle_alpha 90.00
_cell_angle_beta 90.00
_cell_angle_gamma 90.00
_space_group_name_H-M_alt 'P 4/m m m'
_space_group_IT_number 123
_space_group_name_Hall '-P 4 2'
loop_
_atom_site_label
_atom_site_type_symbol
_atom_site_fract_x
_atom_site_fract_y
_atom_site_fract_z
_atom_site_occupancy
Mn1 Mn 0.000 0.000 0.000 1
Al1 Al 0.500 0.500 0.500 1
Te1 Te 0.000 0.500 0.500 1
I1 I 0.500 0.500 0.000 1
# total DFT energy (no corrections)	-18.67	eV/cell
# ΔE to the lowest computed polymorph	0	meV per atom
# ΔE_f (raw)	0.42	eV/atom

=====

Record 7
# PBE Cd2AgHg, relaxed
data_Cd2AgHg
_cell_length_a 3.0306
_cell_length_b 3.0306
_cell_length_c 33.2497
_cell_angle_alpha 90.00
_cell_angle_beta 90.00
_cell_angle_gamma 120.00
_space_group_name_H-M_alt 'R 3 m'
_space_group_IT_number 160
_space_group_name_Hall 'R 3 -2"'
loop_
_atom_site_label
_atom_site_type_symbol
_atom_site_fract_x
_atom_site_fract_y
_atom_site_fract_z
_atom_site_occupancy
Cd1 Cd 0.0000 0.0000 0.0000 1
Cd2 Cd 0.0000 0.0000 0.2426 1
Ag1 Ag 0.0000 0.0000 0.5015 1
Hg1 Hg 0.0000 0.0000 0.7578 1
# total DFT energy (no corrections)	-14.71	eV/cell
# DFT formation energy	20	meV per atom

=====

Record 8
# PBE Ca2NdBi, relaxed
data_Ca2NdBi
_cell_length_a 4.978
_cell_length_b 4.978
_cell_length_c 5.291
_cell_angle_alpha 90.00
_cell_angle_beta 90.00
_cell_angle_gamma 90.00
_space_group_name_H-M_alt 'P 4/m m m'
_space_group_IT_number 123
_space_group_name_Hall '-P 4 2'
loop_
_atom_site_label
_atom_site_type_symbol
_atom_site_fract_x
_atom_site_fract_y
_atom_site_fract_z
_atom_site_occupancy
Ca1 Ca 0.000 0.500 0.000 1
Nd1 Nd 0.000 0.000 0.500 1
Bi1 Bi 0.500 0.500 0.500 1
# total DFT energy (no corrections)	-14.17	eV/cell
# DFT formation energy	-379	meV per atom

=====

Record 9
# PBE AcScCdCu, relaxed
data_AcScCdCu
_cell_length_a 7.449
_cell_length_b 7.449
_cell_length_c 7.449
_cell_angle_alpha 90.00
_cell_angle_beta 90.00
_cell_angle_gamma 90.00
_space_group_name_H-M_alt 'F -4 3 m'
_space_group_IT_number 216
_space_group_name_Hall 'F -4 2 3'
loop_
_atom_site_label
_atom_site_type_symbol
_atom_site_fract_x
_atom_site_fract_y
_atom_site_fract_z
_atom_site_occupancy
Ac1 Ac 0.000 0.000 0.000 1
Sc1 Sc 0.000 0.000 0.500 1
Cd1 Cd 0.250 0.250 0.250 1
Cu1 Cu 0.250 0.250 0.750 1
# total DFT energy (no corrections)	-62.90	eV/cell
# DFT formation energy	-68	meV per atom

=====

Record 10
# PBE Sm2TmCd, relaxed
data_Sm2TmCd
_cell_length_a 7.766
_cell_length_b 7.766
_cell_length_c 7.766
_cell_angle_alpha 90.00
_cell_angle_beta 90.00
_cell_angle_gamma 90.00
_space_group_name_H-M_alt 'F m -3 m'
_space_group_IT_number 225
_space_group_name_Hall '-F 4 2 3'
loop_
_atom_site_label
_atom_site_type_symbol
_atom_site_fract_x
_atom_site_fract_y
_atom_site_fract_z
_atom_site_occupancy
Sm1 Sm 0.250 0.250 0.250 1
Tm1 Tm 0.000 0.000 0.000 1
Cd1 Cd 0.000 0.000 0.500 1
# total DFT energy (no corrections)	-60.07	eV/cell
# ΔE to the lowest computed polymorph	99	meV per atom
# DFT formation energy	-48	meV per atom

=====

Record 11
# PBE In3Hg3Pb5, relaxed
data_In3Hg3Pb5
_cell_length_a 10.5793
_cell_length_b 10.5793
_cell_length_c 3.4545
_cell_angle_alpha 90.00
_cell_angle_beta 90.00
_cell_angle_gamma 120.00
_space_group_name_H-M_alt 'P -6 2 m'
_space_group_IT_number 189
_space_group_name_Hall 'P -6 -2'
loop_
_atom_site_label
_atom_site_type_symbol
_atom_site_fract_x
_atom_site_fract_y
_atom_site_fract_z
_atom_site_occupancy
In1 In 0.0000 0.3997 0.0000 1
Hg1 Hg 0.0000 0.1666 0.5000 1
Pb1 Pb 0.0000 0.6569 0.5000 1
Pb2 Pb 0.3333 0.6667 0.5000 1
# total DFT energy (no corrections)	-26.68	eV/cell
# DFT formation energy	89	meV per atom

=====

Record 12
# PBE K2EuI4, relaxed
data_K2EuI4
_cell_length_a 6.334
_cell_length_b 6.334
_cell_length_c 18.103
_cell_angle_alpha 90.00
_cell_angle_beta 90.00
_cell_angle_gamma 90.00
_space_group_name_H-M_alt 'I 4/m m m'
_space_group_IT_number 139
_space_group_name_Hall '-I 4 2'
loop_
_atom_site_label
_atom_site_type_symbol
_atom_site_fract_x
_atom_site_fract_y
_atom_site_fract_z
_atom_site_occupancy
K1 K 0.000 0.000 0.136 1
Eu1 Eu 0.000 0.000 0.500 1
I1 I 0.000 0.000 0.324 1
I2 I 0.000 0.500 0.000 1
# total DFT energy (no corrections)	-57.80	eV/cell
# ΔE_f (raw)	-1.46	eV/atom